(1)
DFT (PBE) results for an optimized crystal structure of LaPr2PbO.

Calculated values
Formation energy without anion corrections: -1.396 eV per atom
Total magnetization: 0.00 μB per formula unit
Calculated density: 8.2 g/cm³

Lattice parameters (Å, degrees): 5.078 5.078 5.034 90.00 90.00 90.00
Atoms (fractional coordinates):
La 0.000 0.000 0.000
Pr 0.000 0.500 0.500
Pr 0.500 0.000 0.500
Pb 0.500 0.500 0.000
O 0.000 0.000 0.500

(2)
DFT (PBE) results for an optimized crystal structure of La2Pr2Pb2O.

Calculated values
Formation energy without anion corrections: -1.186 eV per atom
Total magnetization: 1.35 μB per formula unit
Calculated density: 7.8 g/cm³

Lattice parameters (Å, degrees): 4.874 4.874 17.713 90.00 90.00 90.00
Atoms (fractional coordinates):
La 0.000 0.000 0.172
La 0.000 0.000 0.828
La 0.500 0.500 0.328
La 0.500 0.500 0.672
Pr 0.000 0.500 0.000
Pr 0.000 0.500 0.500
Pr 0.500 0.000 0.000
Pr 0.500 0.000 0.500
Pb 0.000 0.000 0.361
Pb 0.000 0.000 0.639
Pb 0.500 0.500 0.139
Pb 0.500 0.500 0.861
O 0.000 0.000 0.000
O 0.500 0.500 0.500

(3)
DFT (PBE) results for an optimized crystal structure of La2PrPbO.

Calculated values
Formation energy without anion corrections: -1.430 eV per atom
Total magnetization: 0.00 μB per formula unit
Calculated density: 8.1 g/cm³

Lattice parameters (Å, degrees): 5.067 5.067 5.101 90.00 90.00 90.00
Atoms (fractional coordinates):
La 0.000 0.500 0.000
La 0.500 0.000 0.000
Pr 0.000 0.000 0.500
Pb 0.500 0.500 0.500
O 0.000 0.000 0.000

(4)
DFT (PBE) results for an optimized crystal structure of La4Pr2Pb3O2.

Calculated values
Formation energy without anion corrections: -1.393 eV per atom
Total magnetization: 0.00 μB per formula unit
Calculated density: 7.6 g/cm³

Lattice parameters (Å, degrees): 13.878 13.878 13.878 159.62 159.62 28.97
Atoms (fractional coordinates):
La 0.084 0.584 0.500
La 0.416 0.916 0.500
La 0.584 0.084 0.500
La 0.916 0.416 0.500
Pr 0.196 0.196 0.000
Pr 0.804 0.804 0.000
Pb 0.320 0.320 0.000
Pb 0.500 0.500 0.000
Pb 0.680 0.680 0.000
O 0.103 0.103 0.000
O 0.897 0.897 0.000

Q: What is the formation energy without anion corrections in the third record?
A: -1.430 eV per atom

Q: Which formula does entry 4 have?
A: La4Pr2Pb3O2

Q: formation energy without anion corrections of number 2 (La2Pr2Pb2O)?
A: -1.186 eV per atom

Q: What is the calculated density in the third record?
A: 8.1 g/cm³